The following is a GGA+U calculation of VNiO3 after structural relaxation, from the Alexandria database.

abc: 5.275 5.275 4.893
angles: 96.56 96.56 125.19
Fractional coordinates of all 10 atoms:
V: 0.152 0.848 0.000
V: 0.848 0.152 0.000
Ni: 0.351 0.649 0.500
Ni: 0.649 0.351 0.500
O: 0.040 0.433 0.759
O: 0.227 0.227 0.226
O: 0.433 0.040 0.759
O: 0.567 0.960 0.241
O: 0.773 0.773 0.774
O: 0.960 0.567 0.241

- calculated density (g cm⁻³) = 4.856
- energy (eV per atom) = -6.5842